La3MgO PBE optimized geometry; formation energy from raw total energies = -0.046 eV per atom; final energy = -4.3127 eV per atom
1.0
4.000 -2.309 0.000
0.000 4.619 0.000
0.000 0.000 17.208
La Mg O
6 2 2
direct
0.000 0.000 0.750
0.667 0.333 0.063
0.667 0.333 0.437
0.000 0.000 0.250
0.333 0.667 0.563
0.333 0.667 0.937
0.333 0.667 0.750
0.667 0.333 0.250
0.000 0.000 0.000
0.000 0.000 0.500